# 1
## Cs2KP2Pt3 (PBE)

Data for an optimized crystal structure of Cs2KP2Pt3.

```
Cs2KP2Pt3
1.0
2.964 1.711 7.180
-2.964 1.711 7.180
0.000 -3.422 7.180
Cs K P Pt
2 1 2 3
Direct
0.092 0.092 0.092
0.908 0.908 0.908
0.500 0.500 0.500
0.258 0.258 0.258
0.742 0.742 0.742
0.000 0.500 0.500
0.500 0.000 0.500
0.500 0.500 0.000
```

Space-group type ... No. 166
VASP energy ... -4.3891 eV per atom

=====

# 2
## Li2LaSnPd (PBE)

Data for an optimized crystal structure of Li2LaSnPd.

```
Li2LaSnPd
1.0
4.026 0.000 0.000
0.000 4.026 0.000
0.000 0.000 13.583
Li La Sn Pd
4 2 2 2
Direct
0.000 0.500 0.000
0.000 0.500 0.500
0.500 0.000 0.000
0.500 0.000 0.500
0.000 0.000 0.281
0.500 0.500 0.781
0.000 0.000 0.644
0.500 0.500 0.144
0.000 0.000 0.853
0.500 0.500 0.353
```

Space-group type ... No. 107
VASP energy ... -4.1258 eV per atom